(1)
This record from Alexandria via LeMat-Bulk describes a relaxed structure of LaTeSCl2. The functional is GGA-PBE.

Cell: 5.5672 5.5672 5.6744 Å, 90.00 90.00 90.00°
With the nearest neighbours (Å) after each atom.
Space group P4/mmm (No. 123)
Unique sites:
La (0.0000, 0.0000, 0.0000) (multiplicity 1)  4 Cl 2.78, 2 S 2.84
Te (0.5000, 0.5000, 0.5000) (multiplicity 1)  4 S 3.94, 8 Cl 3.97
S (0.0000, 0.0000, 0.5000) (multiplicity 1)  2 La 2.84
Cl (0.0000, 0.5000, 0.0000) (multiplicity 2)  2 La 2.78

Computed properties:
Raw formation energy = -97.3 kJ per mole of atoms
Energy above the lowest structure with this stoichiometry = 0.000 eV per atom
Total DFT energy (no corrections) = -4.19 eV per atom
V = 176 Å³/cell

=====

(2)
This record from Alexandria via LeMat-Bulk describes a relaxed structure of LaTeSCl2. The functional is GGA-PBE.

Cell: 4.9072 4.9072 5.8321 Å, 90.00 90.00 90.00°
With the nearest neighbours (Å) after each atom.
Space group P4/mmm (No. 123)
Unique sites:
La (0.0000, 0.0000, 0.0000) (multiplicity 1)  2 S 2.92
Te (0.5000, 0.5000, 0.0000) (multiplicity 1)  4 La 3.47, 8 Cl 3.81
S (0.0000, 0.0000, 0.5000) (multiplicity 1)  4 Cl 2.45
Cl (0.0000, 0.5000, 0.5000) (multiplicity 2)  2 S 2.45

Computed properties:
Raw formation energy = -70.2 kJ per mole of atoms
Energy above the lowest structure with this stoichiometry = 0.281 eV per atom
Total DFT energy (no corrections) = -3.91 eV per atom
V = 140 Å³/cell

=====

(3)
This record from Alexandria via LeMat-Bulk describes a relaxed structure of LaTeSCl2. The functional is GGA-PBE.

Cell: 5.4565 5.4565 5.2360 Å, 90.00 90.00 90.00°
With the nearest neighbours (Å) after each atom.
Space group P4/mmm (No. 123)
Unique sites:
La (0.0000, 0.0000, 0.0000) (multiplicity 1)  8 Cl 3.78, 4 S 3.86
Te (0.5000, 0.5000, 0.5000) (multiplicity 1)  2 S 2.62, 4 Cl 2.73
S (0.5000, 0.5000, 0.0000) (multiplicity 1)  2 Te 2.62
Cl (0.0000, 0.5000, 0.5000) (multiplicity 2)  2 Te 2.73

Computed properties:
Raw formation energy = -36.1 kJ per mole of atoms
Energy above the lowest structure with this stoichiometry = 0.634 eV per atom
Total DFT energy (no corrections) = -3.55 eV per atom
V = 156 Å³/cell

=====

(4)
This record from Alexandria via LeMat-Bulk describes a relaxed structure of LaTiSCl2. The functional is GGA-PBE.

Cell: 5.5216 5.5216 5.5533 Å, 90.00 90.00 90.00°
With the nearest neighbours (Å) after each atom.
Space group P4/mmm (No. 123)
Unique sites:
La (0.0000, 0.0000, 0.0000) (multiplicity 1)  4 Cl 2.76, 2 S 2.78
Ti (0.5000, 0.5000, 0.5000) (multiplicity 1)  4 S 3.90, 8 Cl 3.92
S (0.0000, 0.0000, 0.5000) (multiplicity 1)  2 La 2.78
Cl (0.0000, 0.5000, 0.0000) (multiplicity 2)  2 La 2.76

Computed properties:
Raw formation energy = -80.6 kJ per mole of atoms
Energy above the lowest structure with this stoichiometry = 0.487 eV per atom
Total DFT energy (no corrections) = -4.96 eV per atom
V = 169 Å³/cell

=====

(5)
This record from Alexandria via LeMat-Bulk describes a relaxed structure of LaTiSCl2. The functional is GGA-PBE.

Cell: 4.7372 4.7372 4.8615 Å, 90.00 90.00 90.00°
With the nearest neighbours (Å) after each atom.
Space group P4/mmm (No. 123)
Unique sites:
La (0.0000, 0.0000, 0.0000) (multiplicity 1)  4 S 3.35, 8 Cl 3.39
Ti (0.5000, 0.5000, 0.5000) (multiplicity 1)  4 Cl 2.37, 2 S 2.43
S (0.5000, 0.5000, 0.0000) (multiplicity 1)  2 Ti 2.43
Cl (0.0000, 0.5000, 0.5000) (multiplicity 2)  2 Ti 2.37

Computed properties:
Raw formation energy = -127.6 kJ per mole of atoms
Energy above the lowest structure with this stoichiometry = 0.000 eV per atom
Total DFT energy (no corrections) = -5.45 eV per atom
V = 109 Å³/cell

=====

(6)
This record from Alexandria via LeMat-Bulk describes a relaxed structure of LaTlSCl2. The functional is GGA-PBE.

Cell: 5.4501 5.4501 5.2347 Å, 90.00 90.00 90.00°
With the nearest neighbours (Å) after each atom.
Space group P4/mmm (No. 123)
Unique sites:
La (0.0000, 0.0000, 0.0000) (multiplicity 1)  8 Cl 3.78, 4 S 3.85
Tl (0.5000, 0.5000, 0.5000) (multiplicity 1)  2 S 2.62, 4 Cl 2.73
S (0.5000, 0.5000, 0.0000) (multiplicity 1)  2 Tl 2.62
Cl (0.0000, 0.5000, 0.5000) (multiplicity 2)  2 Tl 2.73

Computed properties:
Raw formation energy = -64.5 kJ per mole of atoms
Energy above the lowest structure with this stoichiometry = 0.958 eV per atom
Total DFT energy (no corrections) = -3.69 eV per atom
V = 155 Å³/cell

=====

(7)
This record from Alexandria via LeMat-Bulk describes a relaxed structure of LaTlSCl2. The functional is GGA-PBE.

Cell: 5.6222 5.6222 5.5243 Å, 90.00 90.00 90.00°
With the nearest neighbours (Å) after each atom.
Space group P4/mmm (No. 123)
Unique sites:
La (0.0000, 0.0000, 0.0000) (multiplicity 1)  2 S 2.76, 4 Cl 2.81
Tl (0.5000, 0.5000, 0.5000) (multiplicity 1)  8 Cl 3.94, 4 S 3.98
S (0.0000, 0.0000, 0.5000) (multiplicity 1)  2 La 2.76
Cl (0.0000, 0.5000, 0.0000) (multiplicity 2)  2 La 2.81

Computed properties:
Raw formation energy = -156.9 kJ per mole of atoms
Energy above the lowest structure with this stoichiometry = 0.000 eV per atom
Total DFT energy (no corrections) = -4.65 eV per atom
V = 175 Å³/cell

=====

(8)
This record from Alexandria via LeMat-Bulk describes a relaxed structure of LaVSCl2. The functional is GGA-PBE.

Cell: 5.5256 5.5256 5.5560 Å, 90.00 90.00 90.00°
With the nearest neighbours (Å) after each atom.
Space group P4/mmm (No. 123)
Unique sites:
La (0.0000, 0.0000, 0.0000) (multiplicity 1)  4 Cl 2.76, 2 S 2.78
V (0.5000, 0.5000, 0.5000) (multiplicity 1)  4 S 3.91, 8 Cl 3.92
S (0.0000, 0.0000, 0.5000) (multiplicity 1)  2 La 2.78
Cl (0.0000, 0.5000, 0.0000) (multiplicity 2)  2 La 2.76

Computed properties:
Raw formation energy = -70.6 kJ per mole of atoms
Energy above the lowest structure with this stoichiometry = 0.442 eV per atom
Total DFT energy (no corrections) = -5.11 eV per atom
V = 170 Å³/cell

=====

(9)
This record from Alexandria via LeMat-Bulk describes a relaxed structure of LaVSCl2. The functional is GGA-PBE.

Cell: 4.6969 4.6969 4.8931 Å, 90.00 90.00 90.00°
With the nearest neighbours (Å) after each atom.
Space group P4/mmm (No. 123)
Unique sites:
La (0.0000, 0.0000, 0.0000) (multiplicity 1)  4 S 3.32, 8 Cl 3.39
V (0.5000, 0.5000, 0.5000) (multiplicity 1)  4 Cl 2.35, 2 S 2.45
S (0.5000, 0.5000, 0.0000) (multiplicity 1)  2 V 2.45
Cl (0.0000, 0.5000, 0.5000) (multiplicity 2)  2 V 2.35

Computed properties:
Raw formation energy = -113.2 kJ per mole of atoms
Energy above the lowest structure with this stoichiometry = 0.000 eV per atom
Total DFT energy (no corrections) = -5.55 eV per atom
V = 108 Å³/cell

=====

(10)
This record from Alexandria via LeMat-Bulk describes a relaxed structure of LaWSCl2. The functional is GGA-PBE.

Cell: 4.8300 4.8300 4.6775 Å, 90.00 90.00 90.00°
With the nearest neighbours (Å) after each atom.
Space group P4/mmm (No. 123)
Unique sites:
La (0.0000, 0.0000, 0.0000) (multiplicity 1)  8 Cl 3.36, 4 S 3.42
W (0.5000, 0.5000, 0.5000) (multiplicity 1)  2 S 2.34, 4 Cl 2.41
S (0.5000, 0.5000, 0.0000) (multiplicity 1)  2 W 2.34
Cl (0.0000, 0.5000, 0.5000) (multiplicity 2)  2 W 2.41

Computed properties:
Raw formation energy = -45.1 kJ per mole of atoms
Energy above the lowest structure with this stoichiometry = 0.000 eV per atom
Total DFT energy (no corrections) = -5.61 eV per atom
V = 109 Å³/cell

=====

(11)
This record from Alexandria via LeMat-Bulk describes a relaxed structure of LaWS2Cl. The functional is GGA-PBE.

Cell: 5.5543 5.5543 5.3039 Å, 90.00 90.00 90.00°
With the nearest neighbours (Å) after each atom.
Space group P4/mmm (No. 123)
Unique sites:
La (0.0000, 0.0000, 0.0000) (multiplicity 1)  2 Cl 2.65, 4 S 2.78
W (0.5000, 0.5000, 0.5000) (multiplicity 1)  8 S 3.84, 4 Cl 3.93
S (0.0000, 0.5000, 0.0000) (multiplicity 2)  2 La 2.78
Cl (0.0000, 0.0000, 0.5000) (multiplicity 1)  2 La 2.65

Computed properties:
Raw formation energy = 36.9 kJ per mole of atoms
Energy above the lowest structure with this stoichiometry = 1.089 eV per atom
Total DFT energy (no corrections) = -5.21 eV per atom
V = 164 Å³/cell

=====

(12)
This record from Alexandria via LeMat-Bulk describes a relaxed structure of LaWSCl2. The functional is GGA-PBE.

Cell: 5.4383 5.4383 5.6883 Å, 90.00 90.00 90.00°
With the nearest neighbours (Å) after each atom.
Space group P4/mmm (No. 123)
Unique sites:
La (0.0000, 0.0000, 0.0000) (multiplicity 1)  4 Cl 2.72, 2 S 2.84
W (0.5000, 0.5000, 0.5000) (multiplicity 1)  4 S 3.85, 8 Cl 3.93
S (0.0000, 0.0000, 0.5000) (multiplicity 1)  2 La 2.84
Cl (0.0000, 0.5000, 0.0000) (multiplicity 2)  2 La 2.72

Computed properties:
Raw formation energy = -1.1 kJ per mole of atoms
Energy above the lowest structure with this stoichiometry = 0.456 eV per atom
Total DFT energy (no corrections) = -5.15 eV per atom
V = 168 Å³/cell

=====

(13)
This record from Alexandria via LeMat-Bulk describes a relaxed structure of LaWS2Cl. The functional is GGA-PBE.

Cell: 4.7023 4.7023 4.8533 Å, 90.00 90.00 90.00°
With the nearest neighbours (Å) after each atom.
Space group P4/mmm (No. 123)
Unique sites:
La (0.0000, 0.0000, 0.0000) (multiplicity 1)  4 Cl 3.33, 8 S 3.38
W (0.5000, 0.5000, 0.5000) (multiplicity 1)  4 S 2.35, 2 Cl 2.43
S (0.0000, 0.5000, 0.5000) (multiplicity 2)  2 W 2.35
Cl (0.5000, 0.5000, 0.0000) (multiplicity 1)  2 W 2.43

Computed properties:
Raw formation energy = -68.2 kJ per mole of atoms
Energy above the lowest structure with this stoichiometry = 0.000 eV per atom
Total DFT energy (no corrections) = -6.30 eV per atom
V = 107 Å³/cell

=====

(14)
This record from Alexandria via LeMat-Bulk describes a relaxed structure of LaYSCl2. The functional is GGA-PBE.

Cell: 5.4869 5.4869 5.5795 Å, 90.00 90.00 90.00°
With the nearest neighbours (Å) after each atom.
Space group P4/mmm (No. 123)
Unique sites:
La (0.0000, 0.0000, 0.0000) (multiplicity 1)  4 Cl 2.74, 2 S 2.79
Y (0.5000, 0.5000, 0.5000) (multiplicity 1)  4 S 3.88, 8 Cl 3.91
S (0.0000, 0.0000, 0.5000) (multiplicity 1)  2 La 2.79
Cl (0.0000, 0.5000, 0.0000) (multiplicity 2)  2 La 2.74

Computed properties:
Raw formation energy = -111.9 kJ per mole of atoms
Energy above the lowest structure with this stoichiometry = 0.287 eV per atom
Total DFT energy (no corrections) = -5.00 eV per atom
V = 168 Å³/cell